Record 1
## As2RuPtBr (GGA-PBE)

Data for a geometry-optimized As2RuPtBr structure.

Cell and atoms, written as CIF:
```
data_As2RuPtBr
_space_group_name_H-M_alt 'P 4/m m m'
_space_group_IT_number 123
_space_group_name_Hall '-P 4 2'
_cell_length_a 4.6752
_cell_length_b 4.6752
_cell_length_c 5.1219
_cell_angle_alpha 90.00
_cell_angle_beta 90.00
_cell_angle_gamma 90.00
loop_
_atom_site_label
_atom_site_type_symbol
_atom_site_fract_x
_atom_site_fract_y
_atom_site_fract_z
_atom_site_occupancy
As1 As 0.0000 0.5000 0.0000 1
Ru1 Ru 0.0000 0.0000 0.0000 1
Pt1 Pt 0.5000 0.5000 0.5000 1
Br1 Br 0.0000 0.0000 0.5000 1
```

Summary:
M_tot (μB/atom): 0.00
E_form (uncorrected) (meV per atom): 790
Offset from the most stable computed form (meV per atom): 0.0

Record 2
## AlNiP2C (GGA-PBE)

Data for a geometry-optimized AlNiP2C structure.

Cell and atoms, written as CIF:
```
data_AlNiP2C
_space_group_name_H-M_alt 'R 3 m'
_space_group_IT_number 160
_space_group_name_Hall 'R 3 -2"'
_cell_length_a 3.3354
_cell_length_b 3.3354
_cell_length_c 21.5469
_cell_angle_alpha 90.00
_cell_angle_beta 90.00
_cell_angle_gamma 120.00
loop_
_atom_site_label
_atom_site_type_symbol
_atom_site_fract_x
_atom_site_fract_y
_atom_site_fract_z
_atom_site_occupancy
Al1 Al 0.0000 0.0000 0.0000 1
Ni1 Ni 0.0000 0.0000 0.1618 1
P1 P 0.0000 0.0000 0.7731 1
P2 P 0.0000 0.0000 0.8860 1
C1 C 0.0000 0.0000 0.6919 1
```

Summary:
E_form (eV per atom): -0.061
M_tot (μB/atom): 0.00
Offset from the most stable computed form (meV per atom): 60.3

Record 3
## La4Pr5Er2 (GGA-PBE)

Data for a geometry-optimized La4Pr5Er2 structure.

Cell and atoms, written as CIF:
```
data_La4Pr5Er2
_space_group_name_H-M_alt 'C 1 2/m 1'
_space_group_IT_number 12
_space_group_name_Hall '-C 2y'
_cell_length_a 18.1144
_cell_length_b 3.6173
_cell_length_c 11.9682
_cell_angle_alpha 90.00
_cell_angle_beta 94.15
_cell_angle_gamma 90.00
loop_
_atom_site_label
_atom_site_type_symbol
_atom_site_fract_x
_atom_site_fract_y
_atom_site_fract_z
_atom_site_occupancy
La1 La 0.0415 0.0000 0.2636 1
La2 La 0.1422 0.5000 0.7946 1
Pr1 Pr 0.0000 0.5000 0.0000 1
Pr2 Pr 0.0964 0.0000 0.5390 1
Pr3 Pr 0.1791 0.0000 0.0751 1
Er1 Er 0.2170 0.5000 0.3646 1
```

Summary:
E_form (eV per atom): 0.075
M_tot (μB/atom): 0.00
Offset from the most stable computed form (meV per atom): 0.0

Record 4
## Sr16Li12Ca (GGA-PBE)

Data for a geometry-optimized Sr16Li12Ca structure.

Cell and atoms, written as CIF:
```
data_Sr16Li12Ca
_space_group_name_H-M_alt 'C 1 m 1'
_space_group_IT_number 8
_space_group_name_Hall 'C -2y'
_cell_length_a 13.4114
_cell_length_b 18.0829
_cell_length_c 11.2849
_cell_angle_alpha 90.00
_cell_angle_beta 119.01
_cell_angle_gamma 90.00
loop_
_atom_site_label
_atom_site_type_symbol
_atom_site_fract_x
_atom_site_fract_y
_atom_site_fract_z
_atom_site_occupancy
Sr1 Sr 0.0000 0.0000 0.0000 1
Sr2 Sr 0.0057 0.3748 0.0066 1
Sr3 Sr 0.0234 0.3829 0.3707 1
Sr4 Sr 0.1341 0.5000 0.7545 1
Sr5 Sr 0.2037 0.2008 0.0171 1
Sr6 Sr 0.2953 0.0000 0.6727 1
Sr7 Sr 0.3097 0.3155 0.3671 1
Sr8 Sr 0.3223 0.3224 0.7801 1
Sr9 Sr 0.4845 0.1907 0.6668 1
Sr10 Sr 0.4890 0.5000 0.3611 1
Li1 Li 0.0091 0.1928 0.1896 1
Li2 Li 0.0553 0.0917 0.7055 1
Li3 Li 0.1451 0.1850 0.5182 1
Li4 Li 0.1902 0.5000 0.2507 1
Li5 Li 0.2392 0.0906 0.3332 1
Li6 Li 0.2839 0.4052 0.0618 1
Li7 Li 0.3162 0.5000 0.5731 1
Ca1 Ca 0.2963 0.0000 0.0510 1
```

Summary:
E_form (eV per atom): 0.057
M_tot (μB/atom): 0.00

Record 5
## LiSeS6 (GGA-PBE)

Data for a geometry-optimized LiSeS6 structure.

Cell and atoms, written as CIF:
```
data_LiSeS6
_space_group_name_H-M_alt 'P -1'
_space_group_IT_number 2
_space_group_name_Hall '-P 1'
_cell_length_a 4.8396
_cell_length_b 6.0523
_cell_length_c 6.8165
_cell_angle_alpha 83.60
_cell_angle_beta 75.98
_cell_angle_gamma 71.62
loop_
_atom_site_label
_atom_site_type_symbol
_atom_site_fract_x
_atom_site_fract_y
_atom_site_fract_z
_atom_site_occupancy
Li1 Li 0.0000 0.0000 0.0000 1
Se1 Se 0.0000 0.5000 0.5000 1
S1 S 0.1256 0.0611 0.5675 1
S2 S 0.2404 0.5459 0.7847 1
S3 S 0.3153 0.2695 0.9625 1
```

Summary:
M_tot (μB/atom): 0.00
E_form (uncorrected) (meV per atom): -39

Record 6
## Sb4TeBr (GGA-PBE)

Data for a geometry-optimized Sb4TeBr structure.

Cell and atoms, written as CIF:
```
data_Sb4TeBr
_space_group_name_H-M_alt 'F -4 3 m'
_space_group_IT_number 216
_space_group_name_Hall 'F -4 2 3'
_cell_length_a 8.9105
_cell_length_b 8.9105
_cell_length_c 8.9105
_cell_angle_alpha 90.00
_cell_angle_beta 90.00
_cell_angle_gamma 90.00
loop_
_atom_site_label
_atom_site_type_symbol
_atom_site_fract_x
_atom_site_fract_y
_atom_site_fract_z
_atom_site_occupancy
Sb1 Sb 0.1189 0.1189 0.3811 1
Te1 Te 0.0000 0.0000 0.0000 1
Br1 Br 0.2500 0.2500 0.7500 1
```

Summary:
M_tot (μB/atom): 0.00
E_form (uncorrected) (meV per atom): 271

Question: M_tot of number 6 (Sb4TeBr)?
Answer: 0.00 μB/atom